(1)
## TmSiB (PBE)

Data for a relaxed TmSiB crystal.

The space group is F-43m (216).

Geometry as extended XYZ:
```
3
Lattice="0.000 3.086 3.086 3.086 0.000 3.086 3.086 3.086 0.000" Properties=species:S:1:pos:R:3 pbc="T T T"
Tm 0.000 0.000 0.000
Si 4.630 4.630 4.630
B 1.543 1.543 1.543
```

---

(2)
## Er5Lu2Te2Ir2 (PBE)

Data for a relaxed Er5Lu2Te2Ir2 crystal.

The space group is Imm2 (44).

Geometry as extended XYZ:
```
11
Lattice="-1.957 7.771 4.680 1.957 -7.771 4.680 1.957 7.771 -4.680" Properties=species:S:1:pos:R:3 pbc="T T T"
Er 1.957 0.000 1.708
Er 1.957 5.487 -0.805
Lu 0.000 2.879 0.507
Er 0.000 2.284 3.875
Ir 1.957 3.692 2.371
Lu 0.000 12.663 0.507
Ir 1.957 -3.692 2.371
Te 0.000 7.771 0.181
Er 0.000 9.823 2.483
Te 0.000 0.000 8.603
Er 0.000 5.719 2.483
```

---

(3)
## Hf2ZnInCo2Ir2 (PBE)

Data for a relaxed Hf2ZnInCo2Ir2 crystal.

The space group is P-4m2 (115).

Geometry as extended XYZ:
```
8
Lattice="-3.768 -2.299 0.355 2.207 -3.747 -0.835 1.051 -0.765 6.208" Properties=species:S:1:pos:R:3 pbc="T T T"
In 0.000 0.000 0.000
Co 1.881 -2.439 4.177
Hf -0.780 -3.023 -0.240
Zn -0.255 -3.405 2.864
Ir -1.103 -1.718 4.789
Hf 0.525 -0.382 3.104
Co -1.611 -1.348 1.791
Ir 1.374 -2.070 1.179
```

---

(4)
## ErTe3PS (PBE)

Data for a relaxed ErTe3PS crystal.

The space group is P-1 (2).

Geometry as extended XYZ:
```
12
Lattice="-5.617 -1.759 3.651 -0.034 -5.936 -3.929 4.992 -3.074 5.313" Properties=species:S:1:pos:R:3 pbc="T T T"
P -0.750 -5.621 -0.891
Te -1.372 -9.712 3.532
S 0.530 -3.986 -0.540
Te -2.939 -3.105 1.780
S -1.189 -6.782 5.576
Er 3.605 -5.027 4.561
Er -4.264 -5.742 0.474
P 0.090 -5.148 5.926
Te 0.775 -4.005 3.882
Te 0.713 -1.056 1.504
Te -1.434 -6.763 1.154
Te 2.279 -7.663 3.255
```

---

Number 1: VASP energy -14.3 eV per cell. Number 2: VASP energy -66.2 eV per cell. Number 3: VASP energy -59.8 eV per cell. Number 4: VASP energy -54.1 eV per cell.